Compound: NaCeAlTl
Source: the Alexandria database
Functional: PBE
Structure: relaxed

Summary:
D(E_F)   26.6 states/eV per cell
ΔH_f (0 K)   -68 meV/atom

a = 7.4682 Å, b = 7.4682 Å, c = 7.4682 Å
α = 90.00°, β = 90.00°, γ = 90.00°
Closest atoms and distances in Å follow each position.
Space group F-43m (No. 216)
Symmetry-distinct sites (fractional):
Na 0.0000 0.0000 0.0000  4 Tl 3.23, 4 Al 3.23
Ce 0.0000 0.0000 0.5000  4 Tl 3.23, 4 Al 3.23
Al 0.2500 0.2500 0.2500  4 Ce 3.23, 4 Na 3.23
Tl 0.2500 0.2500 0.7500  4 Ce 3.23, 4 Na 3.23

Compound: Sr2Ag2Pd5Pt
Source: the Alexandria database
Functional: PBE
Structure: relaxed

Summary:
D(E_F)   16.3 states/eV per cell
ΔH_f (0 K)   -268 meV/atom

a = 9.9734 Å, b = 9.9734 Å, c = 3.9965 Å
α = 90.00°, β = 90.00°, γ = 90.00°
Closest atoms and distances in Å follow each position.
Space group P4/mbm (No. 127)
Symmetry-distinct sites (fractional):
Sr 0.1758 0.3242 0.0000  3 Ag 2.80-3.05
Ag 0.1254 0.6254 0.0000  6 Pd 2.67-2.77, 1 Sr 2.80
Pd 0.0000 0.5000 0.5000  4 Ag 2.67
Pd 0.0551 0.8050 0.5000  2 Ag 2.77, 2 Pt 2.84, 3 Pd 2.86-3.09
Pt 0.0000 0.0000 0.0000  8 Pd 2.84

D(E_F) of number 2 (Sr2Ag2Pd5Pt)?
16.3 states/eV per cell